! Ca2ScAl2, optimized geometry, DFT PBE-GGA; values from VASP
&SYSTEM
  ibrav = 0, nat = 10, ntyp = 3
/
ATOMIC_SPECIES
Ca 40.08 Ca.upf
Sc 44.96 Sc.upf
Al 26.98 Al.upf
CELL_PARAMETERS angstrom
7.8955 0.0000 0.0000
0.0000 7.8955 0.0000
0.0000 0.0000 4.3603
ATOMIC_POSITIONS crystal
Ca 0.1745 0.3255 0.0000
Ca 0.3255 0.8255 0.0000
Ca 0.6745 0.1745 0.0000
Ca 0.8255 0.6745 0.0000
Sc 0.0000 0.0000 0.5000
Sc 0.5000 0.5000 0.5000
Al 0.1225 0.6225 0.5000
Al 0.3775 0.1225 0.5000
Al 0.6225 0.8775 0.5000
Al 0.8775 0.3775 0.5000
! - Calculated volume: 27.18 Å³/atom
! - Total magnetization: 0.000 μB/f.u.
! - Calculated density: 2188 kg/m3
! - DOS at the Fermi energy: 6.6 states/eV/f.u.
! - E_form: -87 meV per atom

---

! Ca2ScAl, optimized geometry, DFT PBE-GGA; values from VASP
&SYSTEM
  ibrav = 0, nat = 4, ntyp = 3
/
ATOMIC_SPECIES
Ca 40.08 Ca.upf
Sc 44.96 Sc.upf
Al 26.98 Al.upf
CELL_PARAMETERS angstrom
0.0000 3.7783 3.7783
3.7783 0.0000 3.7783
3.7783 3.7783 0.0000
ATOMIC_POSITIONS crystal
Ca 0.0000 0.0000 0.0000
Ca 0.2500 0.2500 0.2500
Sc 0.7500 0.7500 0.7500
Al 0.5000 0.5000 0.5000
! - Calculated volume: 26.97 Å³/atom
! - Total magnetization: 0.000 μB/f.u.
! - Calculated density: 2341 kg/m3
! - DOS at the Fermi energy: 4.1 states/eV/f.u.
! - E_form: 19 meV per atom

---

! Ca2ScAl, optimized geometry, DFT PBE-GGA; values from VASP
&SYSTEM
  ibrav = 0, nat = 4, ntyp = 3
/
ATOMIC_SPECIES
Ca 40.08 Ca.upf
Sc 44.96 Sc.upf
Al 26.98 Al.upf
CELL_PARAMETERS angstrom
-1.8318 2.7587 5.7656
1.8318 -2.7587 5.7656
1.8318 2.7587 -5.7656
ATOMIC_POSITIONS crystal
Ca 0.0000 0.0000 0.0000
Ca 0.7093 0.2093 0.5000
Sc 0.2895 0.7895 0.5000
Al 0.4814 0.4814 0.0000
! - Calculated volume: 29.14 Å³/atom
! - Total magnetization: 0.232 μB/f.u.
! - Calculated density: 2167 kg/m3
! - DOS at the Fermi energy: 5.8 states/eV/f.u.
! - E_form: -21 meV per atom

---

! Ca2ScAl, optimized geometry, DFT PBE-GGA; values from VASP
&SYSTEM
  ibrav = 0, nat = 4, ntyp = 3
/
ATOMIC_SPECIES
Ca 40.08 Ca.upf
Sc 44.96 Sc.upf
Al 26.98 Al.upf
CELL_PARAMETERS angstrom
-1.9563 2.5876 5.5512
1.9563 -2.5876 5.5512
1.9563 2.5876 -5.5512
ATOMIC_POSITIONS crystal
Ca 0.2211 0.2211 0.0000
Ca 0.7789 0.7789 0.0000
Sc 0.5000 0.0000 0.5000
Al 0.0000 0.5000 0.5000
! - Calculated volume: 28.10 Å³/atom
! - Total magnetization: 0.401 μB/f.u.
! - Calculated density: 2247 kg/m3
! - DOS at the Fermi energy: 5.6 states/eV/f.u.
! - E_form: 61 meV per atom

---

! Ca2ScAl, optimized geometry, DFT PBE-GGA; values from VASP
&SYSTEM
  ibrav = 0, nat = 4, ntyp = 3
/
ATOMIC_SPECIES
Ca 40.08 Ca.upf
Sc 44.96 Sc.upf
Al 26.98 Al.upf
CELL_PARAMETERS angstrom
3.4379 0.0000 0.0000
0.0000 4.9053 0.0000
-0.0097 0.0000 6.6498
ATOMIC_POSITIONS crystal
Ca 0.0007 0.0000 0.2644
Ca 0.9993 0.0000 0.7356
Sc 0.5000 0.5000 0.0000
Al 0.5000 0.5000 0.5000
! - Calculated volume: 28.04 Å³/atom
! - Total magnetization: 0.002 μB/f.u.
! - Calculated density: 2252 kg/m3
! - DOS at the Fermi energy: 4.8 states/eV/f.u.
! - E_form: 65 meV per atom

---

! CaScAl3, optimized geometry, DFT PBE-GGA; values from VASP
&SYSTEM
  ibrav = 0, nat = 5, ntyp = 3
/
ATOMIC_SPECIES
Ca 40.08 Ca.upf
Sc 44.96 Sc.upf
Al 26.98 Al.upf
CELL_PARAMETERS angstrom
5.2025 0.0000 0.0000
0.0000 5.2025 0.0000
0.0000 0.0000 5.2025
ATOMIC_POSITIONS crystal
Ca 0.0000 0.0000 0.0000
Sc 0.5000 0.5000 0.5000
Al 0.0000 0.0000 0.5000
Al 0.0000 0.5000 0.0000
Al 0.5000 0.0000 0.0000
! - Calculated volume: 28.16 Å³/atom
! - Total magnetization: 0.000 μB/f.u.
! - Calculated density: 1957 kg/m3
! - Offset from the most stable computed form: 0.610 eV/atom
! - DOS at the Fermi energy: 2.6 states/eV/f.u.
! - E_form: 1035 meV per atom

---

! Ca2ScAlSe5, optimized geometry, DFT PBE-GGA; values from VASP
&SYSTEM
  ibrav = 0, nat = 18, ntyp = 4
/
ATOMIC_SPECIES
Ca 40.08 Ca.upf
Sc 44.96 Sc.upf
Al 26.98 Al.upf
Se 78.96 Se.upf
CELL_PARAMETERS angstrom
1.9721 -8.8682 0.0000
1.9721 8.8682 0.0000
0.0000 0.0000 12.5927
ATOMIC_POSITIONS crystal
Ca 0.1153 0.8847 0.5000
Ca 0.1276 0.8724 0.1467
Ca 0.8724 0.1276 0.6467
Ca 0.8847 0.1153 0.0000
Sc 0.2099 0.7901 0.8540
Sc 0.7901 0.2099 0.3540
Al 0.4386 0.5614 0.2578
Al 0.5614 0.4386 0.7578
Se 0.0484 0.9516 0.8694
Se 0.2890 0.7110 0.4995
Se 0.3086 0.6914 0.1996
Se 0.3577 0.6423 0.8284
Se 0.4984 0.5016 0.5941
Se 0.5016 0.4984 0.0941
Se 0.6423 0.3577 0.3284
Se 0.6914 0.3086 0.6996
Se 0.7110 0.2890 0.9995
Se 0.9516 0.0484 0.3694
! - Calculated volume: 24.47 Å³/atom
! - Total magnetization: 0.000 μB/f.u.
! - Calculated density: 4124 kg/m3
! - Uncorrected formation energy: -1589 meV per atom
! - DOS at the Fermi energy: 0.0 states/eV/f.u.

---

! CaSc2AlSi, optimized geometry, DFT PBE-GGA; values from VASP
&SYSTEM
  ibrav = 0, nat = 5, ntyp = 4
/
ATOMIC_SPECIES
Ca 40.08 Ca.upf
Sc 44.96 Sc.upf
Al 26.98 Al.upf
Si 28.09 Si.upf
CELL_PARAMETERS angstrom
5.0439 0.0000 0.0000
0.0000 5.0439 0.0000
0.0000 0.0000 5.1158
ATOMIC_POSITIONS crystal
Ca 0.0000 0.0000 0.0000
Sc 0.0000 0.5000 0.0000
Sc 0.5000 0.0000 0.0000
Al 0.5000 0.5000 0.5000
Si 0.0000 0.0000 0.5000
! - Calculated volume: 26.03 Å³/atom
! - Total magnetization: 0.976 μB/f.u.
! - Calculated density: 2361 kg/m3
! - Uncorrected formation energy: 1222 meV per atom
! - DOS at the Fermi energy: 4.7 states/eV/f.u.

---

! CaSmScAl, optimized geometry, DFT PBE-GGA; values from VASP
&SYSTEM
  ibrav = 0, nat = 4, ntyp = 4
/
ATOMIC_SPECIES
Ca 40.08 Ca.upf
Sm 150.36 Sm.upf
Sc 44.96 Sc.upf
Al 26.98 Al.upf
CELL_PARAMETERS angstrom
0.0000 3.7447 3.7447
3.7447 0.0000 3.7447
3.7447 3.7447 0.0000
ATOMIC_POSITIONS crystal
Ca 0.0000 0.0000 0.0000
Sm 0.7500 0.7500 0.7500
Sc 0.2500 0.2500 0.2500
Al 0.5000 0.5000 0.5000
! - Calculated volume: 26.26 Å³/atom
! - Total magnetization: 0.000 μB/f.u.
! - Calculated density: 4148 kg/m3
! - DOS at the Fermi energy: 3.1 states/eV/f.u.
! - E_form: -38 meV per atom

---

! CaScTi2Al, optimized geometry, DFT PBE-GGA; values from VASP
&SYSTEM
  ibrav = 0, nat = 5, ntyp = 4
/
ATOMIC_SPECIES
Ca 40.08 Ca.upf
Sc 44.96 Sc.upf
Ti 47.87 Ti.upf
Al 26.98 Al.upf
CELL_PARAMETERS angstrom
4.9784 0.0000 0.0000
0.0000 4.9784 0.0000
0.0000 0.0000 5.1903
ATOMIC_POSITIONS crystal
Ca 0.0000 0.0000 0.0000
Sc 0.5000 0.5000 0.0000
Ti 0.0000 0.5000 0.5000
Ti 0.5000 0.0000 0.5000
Al 0.5000 0.5000 0.5000
! - Calculated volume: 25.73 Å³/atom
! - Total magnetization: 2.803 μB/f.u.
! - Calculated density: 2682 kg/m3
! - DOS at the Fermi energy: 10.1 states/eV/f.u.
! - E_form: 566 meV per atom

---

! CaScAlTl, optimized geometry, DFT PBE-GGA; values from VASP
&SYSTEM
  ibrav = 0, nat = 4, ntyp = 4
/
ATOMIC_SPECIES
Ca 40.08 Ca.upf
Sc 44.96 Sc.upf
Al 26.98 Al.upf
Tl 204.38 Tl.upf
CELL_PARAMETERS angstrom
0.0000 3.6478 3.6478
3.6478 0.0000 3.6478
3.6478 3.6478 0.0000
ATOMIC_POSITIONS crystal
Ca 0.0000 0.0000 0.0000
Sc 0.5000 0.5000 0.5000
Al 0.2500 0.2500 0.2500
Tl 0.7500 0.7500 0.7500
! - Calculated volume: 24.27 Å³/atom
! - Total magnetization: 0.000 μB/f.u.
! - Calculated density: 5412 kg/m3
! - DOS at the Fermi energy: 2.7 states/eV/f.u.
! - E_form: -240 meV per atom

---

! CaScAl2W, optimized geometry, DFT PBE-GGA; values from VASP
&SYSTEM
  ibrav = 0, nat = 5, ntyp = 4
/
ATOMIC_SPECIES
Ca 40.08 Ca.upf
Sc 44.96 Sc.upf
Al 26.98 Al.upf
W 183.84 W.upf
CELL_PARAMETERS angstrom
5.1848 0.0000 0.0000
0.0000 5.1848 0.0000
0.0000 0.0000 4.6586
ATOMIC_POSITIONS crystal
Ca 0.0000 0.0000 0.0000
Sc 0.5000 0.5000 0.5000
Al 0.0000 0.5000 0.5000
Al 0.5000 0.0000 0.5000
W 0.5000 0.5000 0.0000
! - Calculated volume: 25.05 Å³/atom
! - Total magnetization: 0.000 μB/f.u.
! - Calculated density: 4281 kg/m3
! - DOS at the Fermi energy: 5.8 states/eV/f.u.
! - E_form: 1007 meV per atom

---

Among the records above, which one has the highest calculated density?
CaScAlTl